A geometry-optimized Ta5Se structure, computed with PBE-GGA.

* raw formation energy: -0.02 eV/atom
* total magnetic moment: 0.0 Bohr magnetons per cell
* energy relative to the lowest polymorph listed for this composition: 0.0 meV/atom
* crystal system: tetragonal

The structure in POSCAR format:
```
Ta5Se
1.0
-2.259 -2.261 1.243
1.870 -0.295 2.860
-4.767 6.865 3.825
Ta Se
5 1
direct
0.000 0.000 0.166
0.000 0.000 0.500
0.500 0.500 0.327
0.000 0.000 0.834
0.500 0.500 0.673
0.500 0.500 0.000
```

***

A geometry-optimized TaSe2 structure, computed with PBE-GGA.

* raw formation energy: -0.82 eV/atom
* total magnetic moment: 0.0 Bohr magnetons per cell
* crystal system: hexagonal

The structure in POSCAR format:
```
TaSe2
1.0
3.473 0.000 0.000
-1.737 3.008 0.000
0.000 0.000 13.949
Se Ta
4 2
direct
0.333 0.667 0.870
0.667 0.333 0.370
0.333 0.667 0.630
0.667 0.333 0.130
0.667 0.333 0.750
0.333 0.667 0.250
```

***

A geometry-optimized Ta2Se structure, computed with PBE-GGA.

* raw formation energy: 0.02 eV/atom
* total magnetic moment: 0.0 Bohr magnetons per cell
* crystal system: tetragonal

The structure in POSCAR format:
```
Ta2Se
1.0
-1.516 1.958 5.563
-4.650 -0.488 3.902
3.992 -2.486 -3.869
Se Ta
1 2
direct
0.500 0.500 0.000
0.152 0.152 0.000
0.848 0.848 0.000
```

***

A geometry-optimized TaSe4 structure, computed with PBE-GGA.

* raw formation energy: -0.13 eV/atom
* total magnetic moment: 0.0 Bohr magnetons per cell
* crystal system: tetragonal

The structure in POSCAR format:
```
TaSe4
1.0
-2.990 0.235 -1.403
-3.340 -4.856 2.396
-3.383 3.696 3.920
Se Ta
4 1
direct
0.601 0.678 0.120
0.279 0.120 0.322
0.399 0.322 0.880
0.721 0.880 0.678
0.000 0.000 0.000
```